Entry from Alexandria via LeMat-Bulk: CdAgIr2 after structural relaxation (PBE).

Structure (CIF):
```
data_CdAgIr2
_chemical_formula_sum 'Cd1 Ag1 Ir2'
_symmetry_space_group_name_H-M 'P m m m'
_symmetry_Int_Tables_number 47
_cell_length_a 2.782
_cell_length_b 4.319
_cell_length_c 5.523
_cell_angle_alpha 90.00
_cell_angle_beta 90.00
_cell_angle_gamma 90.00
loop_
_symmetry_equiv_pos_as_xyz
'x,y,z'
'-x,-y,-z'
'-x,-y,z'
'x,y,-z'
'x,-y,-z'
'-x,y,z'
'-x,y,-z'
'x,-y,z'
loop_
_atom_site_label
_atom_site_type_symbol
_atom_site_fract_x
_atom_site_fract_y
_atom_site_fract_z
Cd1 Cd 0.000 0.000 0.000
Ag1 Ag 0.000 0.000 0.500
Ir1 Ir 0.500 0.500 0.255
```

N(E_F) = 6.1 states/eV/cell
formation enthalpy at 0 K = 0.4512 eV per atom
E = -4.921 eV/atom